(1)
VASP calculation (GGA-PBE) on an optimized crystal structure of Y2FeSnSe.

Unit cell a=5.7305 b=5.3014 c=5.7305 alpha=90.00 beta=90.00 gamma=90.00
Last column: nearest neighbours and their distance in Å.
Fractional positions:
1 Se 0.0000 0.5000 0.0000  2 Sn 2.65
2 Sn 0.0000 0.0000 0.0000  2 Se 2.65, 4 Y 2.87
3 Y 0.0000 0.0000 0.5000  2 Sn 2.87
4 Y 0.5000 0.0000 0.0000  2 Sn 2.87
5 Fe 0.5000 0.5000 0.5000  8 Y 3.90, 4 Se 4.05

Computed properties:
The calculation puts the uncorrected formation energy at 760 meV per atom. For the size of the total moment, the calculation gives 2.238 μB per formula unit. Its space group is P4/mmm (123).

***

(2)
VASP calculation (GGA-PBE) on an optimized crystal structure of SrMnRh2.

Unit cell a=3.0397 b=3.7824 c=6.7438 alpha=90.00 beta=90.00 gamma=90.00
Last column: nearest neighbours and their distance in Å.
Fractional positions:
1 Sr 0.0000 0.0000 0.4806  2 Sr 3.04, 5 Rh 3.07-3.33
2 Rh 0.5000 0.5000 0.2026  1 Mn 2.43
3 Rh 0.0000 0.0000 0.9751  4 Mn 2.59, 4 Rh 2.87
4 Mn 0.5000 0.5000 0.8417  5 Rh 2.43-2.59

Computed properties:
Its energy above the most stable polymorph in this dataset is 1.06 eV per formula unit. For the size of the total moment, the calculation gives 4.237 μB per formula unit. Its space group is Pmm2 (25).

***

(3)
VASP calculation (GGA-PBE) on an optimized crystal structure of Al6Co5Rh.

Unit cell a=4.0724 b=5.7679 c=6.4429 alpha=90.00 beta=71.58 gamma=90.00
Last column: nearest neighbours and their distance in Å.
Fractional positions:
1 Al 0.1698 0.7466 0.6604  7 Co 2.46-2.52, 1 Rh 2.54
2 Al 0.5000 0.2583 0.0000  6 Co 2.47-2.53, 2 Rh 2.52
3 Al 0.8302 0.7466 0.3396  7 Co 2.46-2.52, 1 Rh 2.54
4 Al 0.8302 0.2534 0.3396  7 Co 2.46-2.52, 1 Rh 2.54
5 Al 0.1698 0.2534 0.6604  7 Co 2.46-2.52, 1 Rh 2.54
6 Al 0.5000 0.7417 0.0000  6 Co 2.47-2.53, 2 Rh 2.52
7 Co 0.6673 0.0000 0.6653  8 Al 2.47-2.53
8 Co 0.3337 0.5000 0.3326  8 Al 2.46-2.48
9 Co 0.0000 0.5000 0.0000  8 Al 2.47-2.52
10 Co 0.3327 0.0000 0.3347  8 Al 2.47-2.53
11 Co 0.6663 0.5000 0.6674  8 Al 2.46-2.48
12 Rh 0.0000 0.0000 0.0000  8 Al 2.52-2.54

Computed properties:
The calculation puts the total energy at -6.12 eV per atom. For the size of the total moment, the calculation gives 0.009 μB per formula unit. Its space group is Cmmm (65).

***

(4)
VASP calculation (GGA-PBE) on an optimized crystal structure of RbSi6Pd12.

Unit cell a=7.1638 b=7.1638 c=7.1638 alpha=105.16 beta=105.16 gamma=105.16
Last column: nearest neighbours and their distance in Å.
Fractional positions:
1 Pd 0.4521 0.4521 0.1782  3 Si 2.40-2.49
2 Pd 0.1285 0.8715 0.5000  4 Si 2.42-2.47
3 Pd 0.4521 0.1782 0.4521  3 Si 2.40-2.49
4 Pd 0.1782 0.4521 0.4521  3 Si 2.40-2.49
5 Pd 0.5479 0.8218 0.5479  3 Si 2.40-2.49
6 Pd 0.8715 0.5000 0.1285  4 Si 2.42-2.47
7 Pd 0.8218 0.5479 0.5479  3 Si 2.40-2.49
8 Pd 0.5000 0.1285 0.8715  4 Si 2.42-2.47
9 Pd 0.1285 0.5000 0.8715  4 Si 2.42-2.47
10 Pd 0.5479 0.5479 0.8218  3 Si 2.40-2.49
11 Pd 0.8715 0.1285 0.5000  4 Si 2.42-2.47
12 Pd 0.5000 0.8715 0.1285  4 Si 2.42-2.47
13 Rb 0.0000 0.0000 0.0000  18 Pd 3.58-3.87, 6 Si 3.77
14 Si 0.7579 0.3273 0.7579  7 Pd 2.40-2.49
15 Si 0.6727 0.2421 0.2421  7 Pd 2.40-2.49
16 Si 0.2421 0.2421 0.6727  7 Pd 2.40-2.49
17 Si 0.3273 0.7579 0.7579  7 Pd 2.40-2.49
18 Si 0.2421 0.6727 0.2421  7 Pd 2.40-2.49
19 Si 0.7579 0.7579 0.3273  7 Pd 2.40-2.49

Computed properties:
The calculation puts the uncorrected formation energy at -590 meV per atom. For the size of the total moment, the calculation gives 0.000 μB per formula unit. Its space group is R-3m (166).

***

(5)
VASP calculation (GGA-PBE) on an optimized crystal structure of La5Sm2ErTm.

Unit cell a=8.4476 b=8.4476 c=10.8262 alpha=112.96 beta=112.96 gamma=90.00
Last column: nearest neighbours and their distance in Å.
Fractional positions:
1 Tm 0.7500 0.2500 0.5000  4 La 3.29
2 Tm 0.2500 0.7500 0.5000  4 La 3.29
3 Sm 0.6264 0.1264 0.0000  1 Sm 3.02, 4 La 3.14-3.33
4 Sm 0.1264 0.3736 0.0000  1 Sm 3.02, 4 La 3.14-3.33
5 Sm 0.3736 0.8736 0.0000  1 Sm 3.02, 4 La 3.14-3.33
6 Sm 0.8736 0.6264 0.0000  1 Sm 3.02, 4 La 3.14-3.33
7 La 0.1367 0.0795 0.7162  1 Sm 3.14, 1 Tm 3.29
8 La 0.0795 0.5795 0.7162  1 Sm 3.14, 1 Tm 3.29
9 La 0.4205 0.3633 0.2838  1 Sm 3.14, 1 Tm 3.29
10 La 0.8633 0.9205 0.2838  1 Sm 3.14, 1 Tm 3.29
11 La 0.5795 0.6367 0.7162  1 Sm 3.14, 1 Tm 3.29
12 La 0.9205 0.4205 0.2838  1 Sm 3.14, 1 Tm 3.29
13 La 0.0000 0.0000 0.0000  4 Sm 3.33
14 La 0.3633 0.8633 0.2838  1 Sm 3.14, 1 Tm 3.29
15 La 0.5000 0.5000 0.0000  4 Sm 3.33
16 La 0.6367 0.1367 0.7162  1 Sm 3.14, 1 Tm 3.29
17 Er 0.7500 0.7500 0.5000  8 La 3.58
18 Er 0.2500 0.2500 0.5000  8 La 3.58

Computed properties:
The calculation puts the total energy at -4.51 eV per atom. For the size of the total moment, the calculation gives 0.000 μB per formula unit. Its space group is I4/mcm (140).

***

(6)
VASP calculation (GGA-PBE) on an optimized crystal structure of Ce2PuPb.

Unit cell a=6.7871 b=6.8246 c=6.8246 alpha=59.14 beta=60.18 gamma=60.18
Last column: nearest neighbours and their distance in Å.
Fractional positions:
1 Ce 0.0000 0.5000 0.5000  4 Pb 3.37-3.39, 4 Ce 3.41, 4 Pu 3.41
2 Ce 0.0000 0.0000 0.5000  2 Pu 3.37, 6 Ce 3.39-3.41, 4 Pb 3.41
3 Ce 0.5000 0.0000 0.0000  4 Pb 3.37-3.39, 4 Pu 3.41, 4 Ce 3.41
4 Ce 0.5000 0.0000 0.5000  2 Pu 3.37, 6 Ce 3.39-3.41, 4 Pb 3.41
5 Pb 0.5000 0.5000 0.5000  8 Ce 3.37-3.41, 4 Pu 3.41
6 Pb 0.0000 0.0000 0.0000  8 Ce 3.37-3.41, 4 Pu 3.41
7 Pu 0.5000 0.5000 0.0000  6 Ce 3.37-3.41, 2 Pu 3.39, 4 Pb 3.41
8 Pu 0.0000 0.5000 0.0000  6 Ce 3.37-3.41, 2 Pu 3.39, 4 Pb 3.41

Computed properties:
Its energy above the most stable polymorph in this dataset is 0.06 eV per formula unit. For the size of the total moment, the calculation gives 8.066 μB per formula unit. Its space group is Imma (74).

***

(7)
VASP calculation (GGA-PBE) on an optimized crystal structure of InCo2W.

Unit cell a=4.3384 b=4.3384 c=4.3384 alpha=60.00 beta=60.00 gamma=60.00
Last column: nearest neighbours and their distance in Å.
Fractional positions:
1 Co 0.0000 0.0000 0.0000  4 Co 2.66, 4 W 2.66
2 Co 0.2500 0.2500 0.2500  4 In 2.66, 4 Co 2.66
3 W 0.7500 0.7500 0.7500  4 In 2.66, 4 Co 2.66
4 In 0.5000 0.5000 0.5000  4 W 2.66, 4 Co 2.66

Computed properties:
The calculation puts the total energy at -6.89 eV per atom. For the size of the total moment, the calculation gives 0.428 μB per formula unit. Its space group is F-43m (216).

***

(8)
VASP calculation (GGA-PBE) on an optimized crystal structure of Rb3YU3Te8.

Unit cell a=8.9427 b=8.9429 c=10.1629 alpha=116.12 beta=90.00 gamma=120.00
Last column: nearest neighbours and their distance in Å.
Fractional positions:
1 Y 0.0000 0.0000 0.5000  6 Te 3.12
2 Te 0.2336 0.9656 0.6991  2 U 3.11, 1 Y 3.12
3 Te 0.2679 0.0344 0.3009  2 U 3.11, 1 Y 3.12
4 Te 0.7340 0.4679 0.7018  3 U 3.13
5 Te 0.2336 0.4672 0.6991  2 U 3.11, 1 Y 3.12
6 Te 0.7664 0.5328 0.3009  2 U 3.11, 1 Y 3.12
7 Te 0.7321 0.9656 0.6991  2 U 3.11, 1 Y 3.12
8 Te 0.7664 0.0344 0.3009  2 U 3.11, 1 Y 3.12
9 Te 0.2660 0.5321 0.2982  3 U 3.13
10 U 0.5000 0.5000 0.5000  6 Te 3.11-3.13
11 U 0.5000 0.0000 0.5000  6 Te 3.11-3.13
12 U 0.0000 0.5000 0.5000  6 Te 3.11-3.13
13 Rb 0.5000 0.5000 0.0000  6 Te 3.67-3.69
14 Rb 0.0000 0.5000 0.0000  6 Te 3.67-3.69
15 Rb 0.0000 0.0000 0.0000  6 Te 3.67-3.69

Computed properties:
The calculation puts the uncorrected formation energy at -956 meV per atom. For the size of the total moment, the calculation gives 8.000 μB per formula unit. Its space group is R-3m (166).

***

(9)
VASP calculation (GGA-PBE) on an optimized crystal structure of Cs6Au2O.

Unit cell a=8.4550 b=9.4627 c=11.7327 alpha=90.00 beta=91.82 gamma=90.00
Last column: nearest neighbours and their distance in Å.
Fractional positions:
1 Au 0.4609 0.1042 0.2527  7 Cs 3.65-4.08
2 Au 0.0391 0.6042 0.2473  7 Cs 3.65-4.08
3 Au 0.9609 0.3958 0.7527  7 Cs 3.65-4.08
4 Au 0.5391 0.8958 0.7473  7 Cs 3.65-4.08
5 O 0.0000 0.0000 0.5000  6 Cs 2.88-3.01
6 O 0.5000 0.5000 0.0000  6 Cs 2.88-3.01
7 Cs 0.1115 0.0306 0.7332  1 O 2.88
8 Cs 0.6461 0.2197 0.9445  1 O 3.01
9 Cs 0.8539 0.7197 0.5555  1 O 3.01
10 Cs 0.2132 0.3504 0.0528  1 O 2.89
11 Cs 0.1461 0.2803 0.4445  1 O 3.01
12 Cs 0.7868 0.6496 0.9472  1 O 2.89
13 Cs 0.2868 0.8504 0.4472  1 O 2.89
14 Cs 0.3885 0.5306 0.7668  1 O 2.88
15 Cs 0.8885 0.9694 0.2668  1 O 2.88
16 Cs 0.7132 0.1496 0.5528  1 O 2.89
17 Cs 0.6115 0.4694 0.2332  1 O 2.88
18 Cs 0.3539 0.7803 0.0555  1 O 3.01

Computed properties:
The calculation puts the uncorrected formation energy at -487 meV per atom. For the size of the total moment, the calculation gives 0.050 μB per formula unit. Its space group is P2_1/c (14).

***

(10)
VASP calculation (GGA-PBE) on an optimized crystal structure of Mn2Sb.

Unit cell a=12.9989 b=12.9989 c=12.9989 alpha=162.74 beta=162.74 gamma=24.50
Last column: nearest neighbours and their distance in Å.
Fractional positions:
1 Mn 0.6706 0.1706 0.5000  4 Sb 2.76, 6 Mn 2.79-3.03
2 Mn 0.8294 0.3294 0.5000  4 Sb 2.76, 6 Mn 2.79-3.03
3 Mn 0.4989 0.9989 0.5000  4 Sb 2.67-2.71, 8 Mn 2.76-2.83
4 Mn 0.5794 0.5794 0.0000  4 Sb 2.76, 6 Mn 2.79-3.03
5 Mn 0.0011 0.5011 0.5000  4 Sb 2.67-2.71, 8 Mn 2.76-2.83
6 Mn 0.4206 0.4206 0.0000  4 Sb 2.76, 6 Mn 2.79-3.03
7 Mn 0.2489 0.2489 0.0000  4 Sb 2.67-2.71, 8 Mn 2.76-2.83
8 Mn 0.7511 0.7511 0.0000  4 Sb 2.67-2.71, 8 Mn 2.76-2.83
9 Sb 0.1770 0.6770 0.5000  8 Mn 2.67-2.76
10 Sb 0.9270 0.9270 0.0000  8 Mn 2.67-2.76
11 Sb 0.0730 0.0730 0.0000  8 Mn 2.67-2.76
12 Sb 0.3230 0.8230 0.5000  8 Mn 2.67-2.76

Computed properties:
The calculation puts the uncorrected formation energy at 187 meV per atom. For the size of the total moment, the calculation gives 5.537 μB per formula unit. Its space group is I4_1/amd (141).

***

(11)
VASP calculation (GGA-PBE) on an optimized crystal structure of Al2HgCl8.

Unit cell a=8.8434 b=9.9948 c=10.4112 alpha=70.65 beta=64.87 gamma=63.74
Last column: nearest neighbours and their distance in Å.
Fractional positions:
1 Cl 0.7172 0.9643 0.1546  1 Al 2.18
2 Cl 0.6786 0.4596 0.7313  1 Al 2.20
3 Cl 0.8695 0.0404 0.7687  1 Al 2.20
4 Cl 0.7005 0.7479 0.9476  1 Al 2.10
5 Cl 0.6040 0.2479 0.4476  1 Al 2.10
6 Cl 0.2995 0.2521 0.0524  1 Al 2.10
7 Cl 0.3960 0.7521 0.5524  1 Al 2.10
8 Cl 0.7958 0.7867 0.5240  1 Al 2.20
9 Cl 0.1065 0.7133 0.9760  1 Al 2.20
10 Cl 0.2828 0.0357 0.8454  1 Al 2.18
11 Cl 0.1638 0.4643 0.6546  1 Al 2.18
12 Cl 0.8362 0.5357 0.3454  1 Al 2.18
13 Cl 0.3214 0.5404 0.2687  1 Al 2.20
14 Cl 0.2042 0.2133 0.4760  1 Al 2.20
15 Cl 0.8935 0.2867 0.0240  1 Al 2.20
16 Cl 0.1305 0.9596 0.2313  1 Al 2.20
17 Al 0.8400 0.8639 0.9612  4 Cl 2.10-2.20
18 Al 0.1600 0.1361 0.0388  4 Cl 2.10-2.20
19 Al 0.3349 0.3639 0.4612  4 Cl 2.10-2.20
20 Al 0.6651 0.6361 0.5388  4 Cl 2.10-2.20
21 Hg 0.9986 0.2500 0.7500  6 Cl 2.70-2.80
22 Hg 0.0014 0.7500 0.2500  6 Cl 2.70-2.80

Computed properties:
The calculation puts the uncorrected formation energy at -1267 meV per atom. Its energy above the most stable polymorph in this dataset is 0.00 eV per formula unit. For the size of the total moment, the calculation gives 0.000 μB per formula unit. Its space group is C2/c (15).

***

(12)
VASP calculation (GGA-PBE) on an optimized crystal structure of PrEuZnAu.

Unit cell a=5.2847 b=5.2847 c=5.2847 alpha=60.00 beta=60.00 gamma=60.00
Last column: nearest neighbours and their distance in Å.
Fractional positions:
1 Zn 0.5000 0.5000 0.5000  4 Eu 3.24, 4 Pr 3.24
2 Eu 0.2500 0.2500 0.2500  4 Zn 3.24, 4 Au 3.24
3 Au 0.0000 0.0000 0.0000  4 Pr 3.24, 4 Eu 3.24
4 Pr 0.7500 0.7500 0.7500  4 Au 3.24, 4 Zn 3.24

Computed properties:
The calculation puts the total energy at -5.41 eV per atom. For the size of the total moment, the calculation gives 7.215 μB per formula unit. Its space group is F-43m (216).